# PBE-GGA NaLiIN2, optimized geometry
# Energy relative to the lowest polymorph listed for this composition   0.195 eV per atom
# Raw formation energy   1246 meV per atom
# M_tot   5.0 μB/cell
data_NaLiIN2
_cell_length_a 4.616
_cell_length_b 4.616
_cell_length_c 6.563
_cell_angle_alpha 90.00
_cell_angle_beta 90.00
_cell_angle_gamma 90.00
_symmetry_space_group_name_H-M 'P 1'
_symmetry_Int_Tables_number 1
loop_
_symmetry_equiv_pos_as_xyz
'x,y,z'
loop_
_atom_site_label
_atom_site_type_symbol
_atom_site_fract_x
_atom_site_fract_y
_atom_site_fract_z
Na1 Na 0.000 0.000 0.000
Li1 Li 0.500 0.500 0.500
I1 I 0.000 0.000 0.500
N1 N 0.000 0.500 0.000
N2 N 0.500 0.000 0.000